# KTa2Se GGA-PBE relaxed
data_KTa2Se
_symmetry_space_group_name_H-M 'P 1'
_symmetry_Int_Tables_number 1
_cell_length_a 3.293
_cell_length_b 3.293
_cell_length_c 8.812
_cell_angle_alpha 90.00
_cell_angle_beta 90.00
_cell_angle_gamma 90.00
loop_
_symmetry_equiv_pos_as_xyz
'x,y,z'
loop_
_atom_site_label
_atom_site_type_symbol
_atom_site_fract_x
_atom_site_fract_y
_atom_site_fract_z
_atom_site_occupancy
Ta1 Ta 0.000 0.000 0.987 1
Se1 Se 0.500 0.500 0.814 1
K1 K 0.000 0.000 0.530 1
Ta2 Ta 0.500 0.500 0.170 1
# Total DFT energy (no corrections), eV/atom: -6.901
# ΔE_f (raw), eV/atom: 0.170
# Size of the total moment, μB/f.u.: 0.07
# Space-group type: P4mm